# HoTh2Pb PBE-GGA optimized geometry
data_HoTh2Pb
_cell_length_a 4.814
_cell_length_b 4.814
_cell_length_c 5.155
_cell_angle_alpha 90.00
_cell_angle_beta 90.00
_cell_angle_gamma 90.00
_symmetry_space_group_name_H-M 'P 1'
_symmetry_Int_Tables_number 1
loop_
_symmetry_equiv_pos_as_xyz
'x,y,z'
loop_
_atom_site_label
_atom_site_fract_x
_atom_site_fract_y
_atom_site_fract_z
Ho1 0.000 0.000 0.000
Th1 0.000 0.500 0.500
Th2 0.500 0.000 0.500
Pb1 0.500 0.500 0.000
# Symmetry: P4/mmm, No. 123
# Energy above the lowest structure with this stoichiometry (meV per atom): 0
# N(E_F) (states/eV per cell): 5.18